Here is a geometry-optimized PrSmDy structure from Alexandria. Energies are from GGA-PBE.

Cell lengths 3.6356, 5.1241, 6.2812 Å; angles 114.07, 106.82, 90.00 degrees
Closest atoms and distances in Å follow each position.
Atoms (fractional coordinates):
Pr  0.3330  0.3330  0.6661  5 Sm 3.61-3.63, 5 Dy 3.62-3.63, 2 Pr 3.64
Sm  0.0010  0.0010  0.0021  5 Pr 3.61-3.63, 5 Dy 3.62-3.65, 2 Sm 3.64
Dy  0.6659  0.6659  0.3318  5 Sm 3.62-3.65, 5 Pr 3.62-3.63, 2 Dy 3.64

symmetry = Imm2 (44)
V = 101 Å³ per cell
VASP energy = -14.05 eV per cell
ρ = 7.436 g/cm³
total magnetization = 0.0000 μB per atom